Here is an optimized crystal structure of KLaFe2I from Alexandria via LeMat-Bulk. Energies are from PBE.

Lattice parameters (Å, degrees): 5.0478 5.0478 5.9153 90.00 90.00 90.00
Atoms (fractional coordinates):
K: 0.0000 0.0000 0.0000
La: 0.5000 0.5000 0.5000
Fe: 0.0000 0.5000 0.0000
Fe: 0.5000 0.0000 0.0000
I: 0.0000 0.0000 0.5000

Values from the calculation:
Its raw formation energy is 1.26 eV/atom. As for the symmetry: P4/mmm (123).